A geometry-optimized TiTl2W3O12 structure. Source: Alexandria via LeMat-Bulk, functional PBE+U.

DFT total energy = -0.5308 Ry/atom

Cell: 7.3222 7.3222 7.3222 Å, 60.55 60.55 60.55°
Fractional coordinates of all 18 atoms:
Ti1 0.0000 0.0000 0.0000
Tl1 0.3522 0.3522 0.3522
Tl2 0.6478 0.6478 0.6478
W1 0.0000 0.0000 0.5000
W2 0.0000 0.5000 0.0000
W3 0.5000 0.0000 0.0000
O1 0.0582 0.6874 0.6874
O2 0.0608 0.0608 0.6863
O3 0.0608 0.6863 0.0608
O4 0.3126 0.3126 0.9418
O5 0.3126 0.9418 0.3126
O6 0.3137 0.9392 0.9392
O7 0.6863 0.0608 0.0608
O8 0.6874 0.0582 0.6874
O9 0.6874 0.6874 0.0582
O10 0.9392 0.3137 0.9392
O11 0.9392 0.9392 0.3137
O12 0.9418 0.3126 0.3126